Model 1:
Below is an optimized crystal structure of KHCl2, with properties calculated at the PBE-GGA level.

a b c (Å): 6.6592 6.6592 6.6592
angles (deg): 43.39 43.39 43.39
Last column: nearest neighbours and their distance in Å.
Element x y z (fractional)
Cl: 0.0862 0.0862 0.0862  1 H 1.56
Cl: 0.9138 0.9138 0.9138  1 H 1.56
K: 0.5000 0.5000 0.5000  6 Cl 3.19
H: 0.0000 0.0000 0.0000  2 Cl 1.56

The value obtained for the calculated density is 1.46 Mg/m³. For the density of states at the Fermi level, the calculation gives 0.00 states/eV/atom.

---

Model 2:
Below is an optimized crystal structure of KHCl2, with properties calculated at the PBE-GGA level.

a b c (Å): 5.6771 6.1918 15.3064
angles (deg): 78.89 90.00 90.00
Last column: nearest neighbours and their distance in Å.
Element x y z (fractional)
H: 0.0788 0.8287 0.8728  2 Cl 1.56-1.57
H: 0.9212 0.1713 0.1272  2 Cl 1.56-1.57
H: 0.9212 0.3287 0.3728  2 Cl 1.56-1.57
H: 0.0788 0.6713 0.6272  2 Cl 1.56-1.57
Cl: 0.7380 0.1491 0.4145  1 H 1.57
Cl: 0.1317 0.0210 0.1656  1 H 1.56
Cl: 0.7380 0.3509 0.0855  1 H 1.57
Cl: 0.2620 0.6491 0.9145  1 H 1.57
Cl: 0.1317 0.4790 0.3344  1 H 1.56
Cl: 0.2620 0.8509 0.5855  1 H 1.57
Cl: 0.8683 0.9790 0.8344  1 H 1.56
Cl: 0.8683 0.5210 0.6656  1 H 1.56
K: 0.7602 0.0510 0.6253  1 H 2.96, 6 Cl 3.15-3.28
K: 0.2398 0.5510 0.1253  1 H 2.96, 6 Cl 3.15-3.28
K: 0.7602 0.4490 0.8747  1 H 2.96, 6 Cl 3.15-3.28
K: 0.2398 0.9490 0.3747  1 H 2.96, 6 Cl 3.15-3.28

The value obtained for the calculated density is 1.40 Mg/m³. For the density of states at the Fermi level, the calculation gives 0.00 states/eV/atom.

---

Stability, highest: model 1